First-principles (PBE-GGA) data for a geometry-optimized Cd2FeMo4 structure, as listed in the Alexandria database.

For the total magnetization, the calculation gives 0.000 μB/f.u. The calculation puts the formation energy at 1.20 eV per atom. Its total energy is -90.45 eV for the cell shown.

It has space group I4/mmm (No. 139), with a = 4.4232 Å, b = 4.4232 Å, c = 14.1735 Å, α = 90.00°, β = 90.00° and γ = 90.00°. Symmetry generates all atoms from Cd at (0.0000, 0.0000, 0.1437), Fe at (0.0000, 0.0000, 0.5000), Mo at (0.0000, 0.0000, 0.3433) and Mo at (0.0000, 0.5000, 0.0000).



First-principles (PBE-GGA) data for a geometry-optimized Cd2FeMo structure, as listed in the Alexandria database.

For the total magnetization, the calculation gives 2.822 μB/f.u. The calculation puts the offset from the most stable computed form at 0.1891 eV per atom. The calculation puts the formation energy at 0.41 eV per atom. Its total energy is -38.95 eV for the cell shown.

It has space group Cmmm (No. 65), with a = 3.8968 Å, b = 3.9622 Å, c = 8.7914 Å, α = 90.00°, β = 90.00° and γ = 90.00°. Symmetry generates all atoms from Cd at (0.0000, 0.0000, 0.2391), Fe at (0.0000, 0.5000, 0.0000) and Mo at (0.0000, 0.5000, 0.5000).



First-principles (PBE-GGA) data for a geometry-optimized Cd2FeMo structure, as listed in the Alexandria database.

For the total magnetization, the calculation gives 2.802 μB/f.u. The calculation puts the offset from the most stable computed form at 0.2687 eV per atom. The calculation puts the formation energy at 0.49 eV per atom. Its total energy is -19.16 eV for the cell shown.

It has space group Pmmm (No. 47), with a = 2.7356 Å, b = 4.4084 Å, c = 5.6609 Å, α = 90.00°, β = 90.00° and γ = 90.00°. Symmetry generates all atoms from Cd at (0.0000, 0.0000, 0.2461), Fe at (0.5000, 0.5000, 0.0000) and Mo at (0.5000, 0.5000, 0.5000).



First-principles (PBE-GGA) data for a geometry-optimized CdFe2Mo structure, as listed in the Alexandria database.

For the total magnetization, the calculation gives 4.564 μB/f.u. The calculation puts the formation energy at 0.35 eV per atom. Its total energy is -27.26 eV for the cell shown.

It has space group P2/m (No. 10), with a = 2.6585 Å, b = 4.1173 Å, c = 5.6728 Å, α = 90.00°, β = 102.21° and γ = 90.00°. Symmetry generates all atoms from Cd at (0.0000, 0.0000, 0.0000), Fe at (0.4698, 0.5000, 0.7106) and Mo at (0.0000, 0.0000, 0.5000).



First-principles (PBE-GGA) data for a geometry-optimized Cd2FeMo structure, as listed in the Alexandria database.

For the total magnetization, the calculation gives 0.000 μB/f.u. The calculation puts the offset from the most stable computed form at 0.6388 eV per atom. The calculation puts the formation energy at 0.86 eV per atom. Its total energy is -70.70 eV for the cell shown.

It has space group Fm-3m (No. 225), with a = 6.4182 Å, b = 6.4182 Å, c = 6.4182 Å, α = 90.00°, β = 90.00° and γ = 90.00°. Symmetry generates all atoms from Cd at (0.2500, 0.2500, 0.2500), Fe at (0.0000, 0.0000, 0.0000) and Mo at (0.0000, 0.0000, 0.5000).



First-principles (PBE-GGA) data for a geometry-optimized CdFe2Mo structure, as listed in the Alexandria database.

For the total magnetization, the calculation gives 4.597 μB/f.u. The calculation puts the formation energy at 0.27 eV per atom. Its total energy is -27.60 eV for the cell shown.

It has space group P4mm (No. 99), with a = 2.8957 Å, b = 2.8957 Å, c = 7.0685 Å, α = 90.00°, β = 90.00° and γ = 90.00°. Symmetry generates all atoms from Cd at (0.0000, 0.0000, 0.0000), Fe at (0.0000, 0.0000, 0.4663), Fe at (0.5000, 0.5000, 0.2758) and Mo at (0.5000, 0.5000, 0.6861).



First-principles (PBE-GGA) data for a geometry-optimized CdFe2Mo structure, as listed in the Alexandria database.

For the total magnetization, the calculation gives 4.266 μB/f.u. The calculation puts the formation energy at 0.38 eV per atom. Its total energy is -81.42 eV for the cell shown.

It has space group R-3m (No. 166, hexagonal axes), with a = 2.8372 Å, b = 2.8372 Å, c = 26.1222 Å, α = 90.00°, β = 90.00° and γ = 120.00°. Symmetry generates all atoms from Cd at (0.0000, 0.0000, 0.0000), Fe at (0.0000, 0.0000, 0.2432) and Mo at (0.0000, 0.0000, 0.5000).



First-principles (PBE-GGA) data for a geometry-optimized CdFe2Mo structure, as listed in the Alexandria database.

For the total magnetization, the calculation gives 4.185 μB/f.u. The calculation puts the formation energy at 0.52 eV per atom. Its total energy is -106.36 eV for the cell shown.

It has space group F-43m (No. 216), with a = 6.1979 Å, b = 6.1979 Å, c = 6.1979 Å, α = 90.00°, β = 90.00° and γ = 90.00°. Symmetry generates all atoms from Cd at (0.0000, 0.0000, 0.0000), Fe at (0.0000, 0.0000, 0.5000), Fe at (0.2500, 0.2500, 0.2500) and Mo at (0.2500, 0.2500, 0.7500).



First-principles (PBE-GGA) data for a geometry-optimized Cd2FeMo structure, as listed in the Alexandria database.

For the total magnetization, the calculation gives 1.359 μB/f.u. The calculation puts the offset from the most stable computed form at 0.0980 eV per atom. The calculation puts the formation energy at 0.32 eV per atom. Its total energy is -59.51 eV for the cell shown.

It has space group R3m (No. 160, hexagonal axes), with a = 2.8990 Å, b = 2.8990 Å, c = 28.8297 Å, α = 90.00°, β = 90.00° and γ = 120.00°. Symmetry generates all atoms from Cd at (0.0000, 0.0000, 0.0000), Cd at (0.0000, 0.0000, 0.2337), Fe at (0.0000, 0.0000, 0.7478) and Mo at (0.0000, 0.0000, 0.4776).



First-principles (PBE-GGA) data for a geometry-optimized CdFe2Mo2 structure, as listed in the Alexandria database.

For the total magnetization, the calculation gives 0.000 μB/f.u. The calculation puts the offset from the most stable computed form at 0.1107 eV per atom. The calculation puts the formation energy at 0.36 eV per atom. Its total energy is -75.45 eV for the cell shown.

It has space group I4/mmm (No. 139), with a = 4.1044 Å, b = 4.1044 Å, c = 9.4344 Å, α = 90.00°, β = 90.00° and γ = 90.00°. Symmetry generates all atoms from Cd at (0.0000, 0.0000, 0.0000), Fe at (0.0000, 0.0000, 0.3826) and Mo at (0.0000, 0.5000, 0.2500).



First-principles (PBE-GGA) data for a geometry-optimized Cd2FeMo structure, as listed in the Alexandria database.

For the total magnetization, the calculation gives 2.132 μB/f.u. The calculation puts the offset from the most stable computed form at 0.3033 eV per atom. The calculation puts the formation energy at 0.53 eV per atom. Its total energy is -38.03 eV for the cell shown.

It has space group Immm (No. 71), with a = 2.9397 Å, b = 4.6997 Å, c = 9.8290 Å, α = 90.00°, β = 90.00° and γ = 90.00°. Symmetry generates all atoms from Cd at (0.0000, 0.0000, 0.2326), Fe at (0.0000, 0.5000, 0.5000) and Mo at (0.0000, 0.5000, 0.0000).



First-principles (PBE-GGA) data for a geometry-optimized Cd4FeMo structure, as listed in the Alexandria database.

For the total magnetization, the calculation gives 4.070 μB/f.u. The calculation puts the formation energy at 0.75 eV per atom. Its total energy is -73.89 eV for the cell shown.

It has space group F-43m (No. 216), with a = 7.7446 Å, b = 7.7446 Å, c = 7.7446 Å, α = 90.00°, β = 90.00° and γ = 90.00°. Symmetry generates all atoms from Cd at (0.1251, 0.1251, 0.1251), Fe at (0.2500, 0.2500, 0.7500) and Mo at (0.0000, 0.0000, 0.5000).